A plane-wave DFT calculation with GGA+U was carried out for a relaxed structure of PaVBO6.

POSCAR file:
```
PaVBO6
1.0
-4.2362 1.9432 -0.8452
-1.8057 -4.3447 -0.9391
-0.1022 1.7240 4.4762
Pa V B O
1 1 1 6
direct
0.0000 0.3333 0.6667
0.5000 0.6667 0.3333
0.5000 0.0000 0.0000
0.7119 0.7114 0.6983
0.7119 0.3017 0.0130
0.7119 0.9870 0.2886
0.2881 0.3017 0.2886
0.2881 0.7114 0.0130
0.2881 0.9870 0.6983
```

Summary:
* total magnetic moment: 1.00 μB per cell
* calculated total energy: -8.195 eV/atom
* SG: P312